Ag2Hg2Br2Cl5 | PBE-GGA | relaxed

a b c (Å): 15.051 15.051 15.051
angles (deg): 160.92 160.92 27.11
Sites, in units of the cell vectors:
Ag1 0.164 0.164 0.000
Ag2 0.836 0.836 0.000
Hg1 0.413 0.413 0.000
Hg2 0.587 0.587 0.000
Br1 0.251 0.251 0.000
Br2 0.749 0.749 0.000
Cl1 0.120 0.620 0.500
Cl2 0.380 0.880 0.500
Cl3 0.500 0.500 0.000
Cl4 0.620 0.120 0.500
Cl5 0.880 0.380 0.500

**E_form (uncorrected)**: -3.556 eV/f.u.
**Space-group type**: I4/mmm

LiLaSnPt2 | PBE-GGA | relaxed

a b c (Å): 6.952 6.952 6.952
angles (deg): 145.83 145.83 49.10
Sites, in units of the cell vectors:
Li1 0.000 0.000 0.000
La1 0.250 0.750 0.500
Sn1 0.500 0.500 0.000
Pt1 0.643 0.143 0.500
Pt2 0.857 0.357 0.500

**Energy of formation from the pure elements**: -0.93 eV per atom
**Space-group type**: I-4m2